Computed, not measured: a relaxed structure of NaTl3Fe at the PBE level of DFT.

- Raw total energy: -3.159 eV/atom
- ΔH_f (0 K): 5.01 kcal/mol of atoms
- D(E_F): 2.05 states/eV/cell
- Polymorph energy (0 for the lowest one): 0 meV/atom

Cell: 5.1400 5.1400 5.1400 Å, 90.00 90.00 90.00°
Last column: nearest neighbours and their distance in Å.
Element x y z (fractional)
Tl 0.0000 0.5000 0.0000  2 Fe 2.57
Tl 0.0000 0.0000 0.5000  2 Fe 2.57
Fe 0.0000 0.0000 0.0000  6 Tl 2.57
Tl 0.5000 0.0000 0.0000  2 Fe 2.57
Na 0.5000 0.5000 0.5000  12 Tl 3.63



Computed, not measured: a relaxed structure of Ac2CeGeO8 at the PBE level of DFT.

- Raw total energy: -7.088 eV/atom

Cell: 5.6758 5.6758 6.1478 Å, 90.00 90.00 120.00°
Last column: nearest neighbours and their distance in Å.
Element x y z (fractional)
O 0.3071 0.1535 0.8109  1 Ge 1.91
Ce 0.0000 0.0000 0.5000  6 O 2.44
O 0.1535 0.8465 0.1891  1 Ge 1.91
Ac 0.3333 0.6667 0.8680  1 O 2.15
O 0.6667 0.3333 0.4821  1 Ac 2.15
O 0.8465 0.1535 0.8109  1 Ge 1.91
Ac 0.6667 0.3333 0.1320  1 O 2.15
O 0.1535 0.3071 0.1891  1 Ge 1.91
O 0.8465 0.6929 0.8109  1 Ge 1.91
Ge 0.0000 0.0000 0.0000  6 O 1.91
O 0.3333 0.6667 0.5179  1 Ac 2.15
O 0.6929 0.8465 0.1891  1 Ge 1.91



Computed, not measured: a relaxed structure of TlAgOsBr6 at the PBE level of DFT.

- Raw total energy: -3.256 eV/atom
- D(E_F): 10.28 states/eV/cell

Cell: 7.1718 7.1718 13.6062 Å, 90.00 90.00 120.00°
Last column: nearest neighbours and their distance in Å.
Element x y z (fractional)
Br 0.3511 0.3906 0.8562  1 Os 2.51
Br 0.0395 0.3906 0.6438  1 Os 2.51
Br 0.6489 0.6094 0.1438  1 Os 2.51
Ag 0.6667 0.3333 0.7500  6 Br 2.88
Br 0.6094 0.6489 0.6438  1 Os 2.51
Ag 0.3333 0.6667 0.2500  6 Br 2.88
Tl 0.0000 0.0000 0.5000  6 Br 3.31
Br 0.3906 0.3511 0.3562  1 Os 2.51
Br 0.9605 0.3511 0.1438  1 Os 2.51
Br 0.0395 0.6489 0.8562  1 Os 2.51
Os 0.6667 0.3333 0.2500  6 Br 2.51
Os 0.3333 0.6667 0.7500  6 Br 2.51
Br 0.3511 0.9605 0.6438  1 Os 2.51
Tl 0.0000 0.0000 0.0000  6 Br 3.31
Br 0.6094 0.9605 0.8562  1 Os 2.51
Br 0.6489 0.0395 0.3562  1 Os 2.51
Br 0.9605 0.6094 0.3562  1 Os 2.51
Br 0.3906 0.0395 0.1438  1 Os 2.51



Computed, not measured: a relaxed structure of Pr8Nd3Dy2 at the PBE level of DFT.

- Raw total energy: -4.545 eV/atom
- ΔH_f (0 K): 4.72 kcal/mol of atoms
- D(E_F): 19.20 states/eV/cell
- Polymorph energy (0 for the lowest one): 56 meV/atom

Cell: 5.8720 7.7885 11.0627 Å, 110.61 90.03 90.00°
Last column: nearest neighbours and their distance in Å.
Element x y z (fractional)
Pr 0.5001 0.8153 0.2152  1 Nd 3.19, 1 Pr 3.24, 1 Dy 3.52
Pr 0.4999 0.1847 0.7848  1 Nd 3.19, 1 Pr 3.24, 1 Dy 3.52
Dy 0.5013 0.7588 0.5177  8 Pr 3.41-3.68
Nd 0.0000 0.2870 0.0000  3 Nd 3.32-3.69, 6 Pr 3.57-3.69
Pr 0.9990 0.3250 0.6500  2 Dy 3.41, 4 Pr 3.63
Nd 0.0000 0.7130 0.0000  3 Nd 3.32-3.69, 6 Pr 3.57-3.69
Pr 0.9994 0.1346 0.2693  2 Nd 3.57, 2 Dy 3.67-3.68, 7 Pr 3.75-3.98
Dy 0.4987 0.2412 0.4823  8 Pr 3.41-3.68
Pr 0.0006 0.8654 0.7307  2 Nd 3.57, 2 Dy 3.67-3.68, 7 Pr 3.75-3.98
Pr 0.0010 0.6750 0.3500  2 Dy 3.41, 4 Pr 3.63
Nd 0.5000 0.0000 0.0000  4 Pr 3.19
Pr 0.5001 0.3999 0.2152  1 Nd 3.19, 1 Pr 3.24, 1 Dy 3.52
Pr 0.4999 0.6001 0.7848  1 Nd 3.19, 1 Pr 3.24, 1 Dy 3.52



Computed, not measured: a relaxed structure of Na4Ac3ErTe8 at the PBE level of DFT.

- Raw total energy: -4.315 eV/atom
- D(E_F): 0.00 states/eV/cell

Cell: 9.3779 9.3039 9.3779 Å, 120.26 120.00 90.00°
Last column: nearest neighbours and their distance in Å.
Element x y z (fractional)
Ac 0.5000 0.5000 0.0000  6 Te 3.31-3.33
Te 0.7509 0.7524 0.5017  3 Na 3.29, 3 Ac 3.31
Te 0.2347 0.2595 0.9971  1 Er 3.14, 3 Na 3.29-3.47, 2 Ac 3.33
Na 0.5000 0.0000 0.5000  6 Te 3.29
Ac 0.0000 0.5000 0.5000  6 Te 3.31-3.33
Te 0.2377 0.7405 0.4753  1 Er 3.14, 3 Na 3.29-3.47, 2 Ac 3.33
Ac 0.5000 0.5000 0.5000  6 Te 3.31-3.33
Te 0.2376 0.7405 0.0029  1 Er 3.14, 3 Na 3.29-3.47, 2 Ac 3.33
Te 0.7653 0.7405 0.0029  1 Er 3.14, 3 Na 3.29-3.47, 2 Ac 3.33
Na 0.5000 0.0000 0.0000  6 Te 3.47
Te 0.2491 0.2476 0.4983  3 Na 3.29, 3 Ac 3.31
Te 0.7624 0.2595 0.9971  1 Er 3.14, 3 Na 3.29-3.47, 2 Ac 3.33
Te 0.7623 0.2595 0.5247  1 Er 3.14, 3 Na 3.29-3.47, 2 Ac 3.33
Er 0.0000 0.5000 0.0000  6 Te 3.14
Na 0.0000 0.0000 0.5000  6 Te 3.29
Na 0.0000 0.0000 0.0000  6 Te 3.29



Computed, not measured: a relaxed structure of Fe2TcRu at the PBE level of DFT.

- Raw total energy: -8.930 eV/atom
- ΔH_f (0 K): 4.89 kcal/mol of atoms
- D(E_F): 4.50 states/eV/cell
- Polymorph energy (0 for the lowest one): 117 meV/atom

Cell: 2.6009 2.6009 8.4459 Å, 90.00 90.00 110.56°
Last column: nearest neighbours and their distance in Å.
Element x y z (fractional)
Tc 0.5000 0.5000 0.7500  4 Fe 2.59, 4 Tc 2.60
Fe 0.0000 0.0000 0.4991  2 Ru 2.57, 2 Tc 2.59, 4 Fe 2.60
Fe 0.0000 0.0000 0.0009  2 Ru 2.57, 2 Tc 2.59, 4 Fe 2.60
Ru 0.5000 0.5000 0.2500  4 Fe 2.57, 4 Ru 2.60



Computed, not measured: a relaxed structure of FePOs2S at the PBE level of DFT.

- Raw total energy: -6.514 eV/atom
- D(E_F): 6.27 states/eV/cell

Cell: 4.5453 4.0045 4.5453 Å, 90.00 90.00 90.00°
Last column: nearest neighbours and their distance in Å.
Element x y z (fractional)
Os 0.0000 0.0000 0.5000  2 Fe 2.27
Fe 0.0000 0.0000 0.0000  2 P 2.00
S 0.5000 0.5000 0.5000  8 Os 3.03, 4 P 3.21
P 0.0000 0.5000 0.0000  2 Fe 2.00
Os 0.5000 0.0000 0.0000  2 Fe 2.27



Computed, not measured: a relaxed structure of Li4TlPd2 at the PBE level of DFT.

- Raw total energy: -3.210 eV/atom
- ΔH_f (0 K): -6.79 kcal/mol of atoms
- D(E_F): 2.37 states/eV/cell
- Polymorph energy (0 for the lowest one): 44 meV/atom

Cell: 5.4268 5.3664 5.4268 Å, 122.29 106.07 57.71°
Last column: nearest neighbours and their distance in Å.
Element x y z (fractional)
Li 0.5949 0.7064 0.0016  4 Li 2.63-2.89, 4 Pd 2.64-2.77, 1 Tl 2.73
Li 0.0016 0.2936 0.5949  4 Li 2.63-2.89, 4 Pd 2.64-2.77, 1 Tl 2.73
Li 0.4051 0.2936 0.9984  4 Li 2.63-2.89, 4 Pd 2.64-2.77, 1 Tl 2.73
Tl 0.0000 0.0000 0.0000  4 Li 2.73
Pd 0.4899 0.2612 0.5101  8 Li 2.64-2.77, 2 Pd 2.68-2.69
Li 0.9984 0.7064 0.4051  4 Li 2.63-2.89, 4 Pd 2.64-2.77, 1 Tl 2.73
Pd 0.5101 0.7388 0.4899  8 Li 2.64-2.77, 2 Pd 2.68-2.69



Computed, not measured: a relaxed structure of ReRuSe2 at the PBE level of DFT.

- Raw total energy: -6.748 eV/atom
- D(E_F): 3.01 states/eV/cell
- Polymorph energy (0 for the lowest one): 381 meV/atom

Cell: 3.1312 3.1312 6.2542 Å, 90.00 90.00 90.00°
Last column: nearest neighbours and their distance in Å.
Element x y z (fractional)
Se 0.0000 0.0000 0.0025  4 Re 2.70, 4 Ru 2.72
Re 0.5000 0.5000 0.2500  8 Se 2.70
Ru 0.5000 0.5000 0.7500  8 Se 2.72
Se 0.0000 0.0000 0.4975  4 Re 2.70, 4 Ru 2.72



Computed, not measured: a relaxed structure of Sr2InGeSe5 at the PBE level of DFT.

- Raw total energy: -4.239 eV/atom
- D(E_F): 2.16 states/eV/cell

Cell: 4.3228 9.5846 12.3147 Å, 90.00 90.00 103.03°
Last column: nearest neighbours and their distance in Å.
Element x y z (fractional)
In 0.2165 0.4330 0.0280  5 Se 2.66-2.96
Se 0.7115 0.4230 0.1751  2 In 2.82
Sr 0.1195 0.2390 0.3125  6 Se 3.19-3.24
Se 0.9534 0.9069 0.5400  2 Ge 2.48
Se 0.6421 0.2843 0.4996  1 In 2.66
Se 0.3129 0.6259 0.3706  1 Ge 2.46
Ge 0.4354 0.8708 0.4451  4 Se 2.41-2.48
Se 0.6871 0.3741 0.8706  1 Ge 2.46
Sr 0.8827 0.7654 0.1806  7 Se 3.14-3.44
In 0.7835 0.5670 0.5280  5 Se 2.66-2.96
Se 0.2885 0.5770 0.6751  2 In 2.82
Se 0.5033 0.0067 0.7725  1 Ge 2.41
Sr 0.1173 0.2346 0.6806  7 Se 3.14-3.44
Ge 0.5646 0.1292 0.9451  4 Se 2.41-2.48
Se 0.0466 0.0931 0.0400  2 Ge 2.48
Se 0.3579 0.7157 0.9996  1 In 2.66
Sr 0.8805 0.7610 0.8125  6 Se 3.19-3.24
Se 0.4967 0.9933 0.2725  1 Ge 2.41



Computed, not measured: a relaxed structure of Si2MoAu at the PBE level of DFT.

- Raw total energy: -6.184 eV/atom
- D(E_F): 2.97 states/eV/cell
- Polymorph energy (0 for the lowest one): 119 meV/atom

Cell: 4.4600 4.4600 4.9980 Å, 79.34 79.34 40.89°
Last column: nearest neighbours and their distance in Å.
Element x y z (fractional)
Mo 0.2500 0.2500 0.2500  6 Si 2.55-2.57
Si 0.9861 0.9861 0.0608  2 Si 2.50, 3 Mo 2.55-2.57, 1 Au 2.74
Si 0.5139 0.5139 0.4392  2 Si 2.50, 3 Mo 2.55-2.57, 1 Au 2.74
Au 0.7500 0.7500 0.7500  6 Si 2.74-2.89, 4 Mo 2.94



Question: Number 4 is which compound?
Answer: Pr8Nd3Dy2



Question: Which formula does entry 8 have?
Answer: Li4TlPd2



Question: Among the records above, which one has the highest raw total energy?
Answer: NaTl3Fe